No. 1
The following is a PBE calculation of crystalline ZnSiPb2 at its relaxed geometry, from the Alexandria database.

Lattice parameters (Å, degrees): 9.9293 9.9293 9.9293 20.12 20.12 20.12
Element x y z (fractional)
Zn1 0.0000 0.0000 0.0000
Si1 0.5000 0.5000 0.5000
Pb1 0.2459 0.2459 0.2459
Pb2 0.7541 0.7541 0.7541

- Space group: R-3m
- Formation energy from raw total energies: 398 meV/atom
- Energy: -3.131 eV/atom
- Energy relative to the lowest polymorph listed for this composition: 171 meV per atom

No. 2
The following is a PBE calculation of crystalline Nb2Pd7Pt3 at its relaxed geometry, from the Alexandria database.

Lattice parameters (Å, degrees): 2.8019 4.4510 16.7524 90.00 94.82 90.00
Element x y z (fractional)
Nb1 0.1397 0.0000 0.2784
Nb2 0.8603 0.0000 0.7216
Pd1 0.0926 0.5000 0.1837
Pd2 0.2143 0.0000 0.4289
Pd3 0.4302 0.0000 0.8617
Pd4 0.5000 0.5000 0.0000
Pd5 0.5698 0.0000 0.1383
Pd6 0.7857 0.0000 0.5711
Pd7 0.9074 0.5000 0.8163
Pt1 0.0000 0.0000 0.0000
Pt2 0.3285 0.5000 0.6582
Pt3 0.6715 0.5000 0.3418

- Space group: P2/m
- Energy: -6.297 eV/atom
- ΔH_f (0 K): -0.080 eV/atom

No. 3
The following is a PBE calculation of crystalline SiBiCl3 at its relaxed geometry, from the Alexandria database.

Lattice parameters (Å, degrees): 5.0508 5.0508 5.0508 90.00 90.00 90.00
Element x y z (fractional)
Si1 0.0000 0.0000 0.0000
Bi1 0.5000 0.5000 0.5000
Cl1 0.0000 0.0000 0.5000
Cl2 0.0000 0.5000 0.0000
Cl3 0.5000 0.0000 0.0000

- Space group: Pm-3m
- Formation energy from raw total energies: -93 meV/atom
- Energy: -3.061 eV/atom
- Energy relative to the lowest polymorph listed for this composition: 0 meV per atom

No. 4
The following is a PBE calculation of crystalline Sm2SnPd4 at its relaxed geometry, from the Alexandria database.

Lattice parameters (Å, degrees): 8.0954 8.0954 8.0954 144.55 144.55 51.01
Element x y z (fractional)
Sm1 0.1341 0.1341 0.0000
Sm2 0.8659 0.8659 0.0000
Sn1 0.5000 0.5000 0.0000
Pd1 0.0000 0.5000 0.5000
Pd2 0.3187 0.3187 0.0000
Pd3 0.5000 0.0000 0.5000
Pd4 0.6813 0.6813 0.0000

- Space group: I4/mmm
- Energy: -5.158 eV/atom
- ΔH_f (0 K): -0.271 eV/atom

No. 5
The following is a PBE calculation of crystalline YZn2Si at its relaxed geometry, from the Alexandria database.

Lattice parameters (Å, degrees): 5.3285 5.3285 5.3285 134.70 134.70 66.00
Element x y z (fractional)
Y1 0.0000 0.0000 0.0000
Zn1 0.2500 0.7500 0.5000
Zn2 0.7500 0.2500 0.5000
Si1 0.5000 0.5000 0.0000

- Space group: I4/mmm
- Formation energy from raw total energies: -245 meV/atom
- Energy: -3.854 eV/atom

No. 6
The following is a PBE calculation of crystalline TbAl4Ag2 at its relaxed geometry, from the Alexandria database.

Lattice parameters (Å, degrees): 5.7323 5.7323 5.1433 115.75 115.75 70.28
Element x y z (fractional)
Tb1 0.0000 0.0000 0.0000
Al1 0.0158 0.6092 0.2935
Al2 0.3908 0.9842 0.7065
Al3 0.6092 0.0158 0.2935
Al4 0.9842 0.3908 0.7065
Ag1 0.4404 0.4404 0.6961
Ag2 0.5596 0.5596 0.3039

- Space group: C2/m
- Energy: -3.801 eV/atom
- ΔH_f (0 K): -0.186 eV/atom